BeIn2HgB after structural relaxation. Source: the Alexandria database, functional GGA-PBE.

Cell: 5.0706 4.7614 5.0706 Å, 90.00 90.00 90.00°
Last column: nearest neighbours and their distance in Å.
Element x y z (fractional)
Hg (0.0000, 0.5000, 0.0000)  2 Be 2.38
B (0.5000, 0.5000, 0.5000)  8 In 3.48, 4 Hg 3.59
In (0.5000, 0.0000, 0.0000)  2 Be 2.54
In (0.0000, 0.0000, 0.5000)  2 Be 2.54
Be (0.0000, 0.0000, 0.0000)  2 Hg 2.38, 4 In 2.54

For the formation energy, the calculation gives 1.111 eV/atom. The calculation puts the density of states at the Fermi level at 0.63 states/eV per atom. The raw total energy is -10.63 eV per cell.